Here is a geometry-optimized NpHgSb2 structure from Alexandria. Energies are from GGA-PBE.

Cell lengths 4.2248, 4.8633, 4.8633 Å; angles 90.00, 90.00, 90.00 degrees
With the nearest neighbours (Å) after each atom.
Element x y z (fractional)
Hg1 0.5000 0.5000 0.5000  8 Sb 3.22, 4 Np 3.44
Sb1 0.0000 0.0000 0.5000  4 Hg 3.22, 4 Np 3.22, 4 Sb 3.44
Sb2 0.0000 0.5000 0.0000  4 Hg 3.22, 4 Np 3.22, 4 Sb 3.44
Np1 0.5000 0.0000 0.0000  8 Sb 3.22, 4 Hg 3.44

## Properties
- E above lowest polymorph (meV per atom) = 0
- crystal system = tetragonal
- uncorrected formation energy (eV per atom) = -0.143
- space-group type = P4/mmm (123)
- total magnetization (μB/f.u.) = 3.81


Here is a geometry-optimized TeP2Au structure from Alexandria. Energies are from GGA-PBE.

Cell lengths 7.3661, 7.3661, 7.3661 Å; angles 155.17, 149.27, 39.90 degrees
With the nearest neighbours (Å) after each atom.
Element x y z (fractional)
Au1 0.2115 0.7115 0.5000  2 Te 2.82, 4 P 2.84
P1 0.8077 0.3077 0.5000  2 P 2.19
Te1 0.5644 0.5644 0.0000  2 Au 2.82
P2 0.9164 0.9164 0.0000  2 P 2.19

## Properties
- crystal system = orthorhombic
- uncorrected formation energy (eV per atom) = 0.263
- space-group type = Imm2 (44)
- total magnetization (μB/f.u.) = 0.00


Here is a geometry-optimized CsRbH4Pt structure from Alexandria. Energies are from GGA-PBE.

Cell lengths 5.7351, 5.7122, 7.7309 Å; angles 90.00, 111.77, 90.00 degrees
With the nearest neighbours (Å) after each atom.
Element x y z (fractional)
H1 0.3683 0.7500 0.7367  1 Pt 1.69
H2 0.8662 0.2500 0.7324  1 Pt 1.68
Cs1 0.8999 0.7500 0.7999  8 H 2.90-2.95
H3 0.5000 0.5000 0.5000  2 Pt 2.02
H4 0.0000 0.0000 0.5000  2 Pt 2.02
H5 0.0000 0.5000 0.5000  2 Pt 2.02
H6 0.5000 0.0000 0.5000  2 Pt 2.02
Cs2 0.1001 0.2500 0.2001  8 H 2.90-2.95
Pt1 0.7492 0.2500 0.4984  2 H 1.68-1.69
Rb1 0.6164 0.7500 0.2328  8 H 2.79-2.88
H7 0.1338 0.7500 0.2676  1 Pt 1.68
H8 0.6317 0.2500 0.2633  1 Pt 1.69
Rb2 0.3836 0.2500 0.7672  8 H 2.79-2.88
Pt2 0.2508 0.7500 0.5016  2 H 1.68-1.69

## Properties
- crystal system = orthorhombic
- E_tot (eV per atom) = -3.27
- space-group type = Cmcm (63)
- total magnetization (μB/f.u.) = 0.00


Here is a geometry-optimized ErLuMg2 structure from Alexandria. Energies are from GGA-PBE.

Cell lengths 3.7398, 5.3081, 5.3081 Å; angles 90.00, 90.00, 90.00 degrees
With the nearest neighbours (Å) after each atom.
Element x y z (fractional)
Lu1 0.5000 0.5000 0.5000  8 Mg 3.25
Er1 0.5000 0.0000 0.0000  8 Mg 3.25
Mg1 0.0000 0.5000 0.0000  4 Er 3.25, 4 Lu 3.25
Mg2 0.0000 0.0000 0.5000  4 Er 3.25, 4 Lu 3.25

## Properties
- E above lowest polymorph (meV per atom) = 3
- crystal system = tetragonal
- calculated formation energy (eV per formula unit) = -0.23
- space-group type = P4/mmm (123)
- total magnetization (μB/f.u.) = 0.00


> Which of these has the highest total magnetization?

NpHgSb2